! PBEsol YGaTe3, relaxed; values from VASP
! Volume in Å³/cell: 192.1
! DOS(E_F) in states/eV/atom: 1.315
! Space group: Pm-3m
! ΔE_f (raw) in eV per atom: -0.18
&SYSTEM
  ibrav = 0, nat = 5, ntyp = 3
/
ATOMIC_SPECIES
Y 88.91 Y.upf
Te 127.60 Te.upf
Ga 69.72 Ga.upf
ATOMIC_POSITIONS angstrom
Y 0.0000 0.0000 0.0000
Te 2.0199 1.8123 0.9791
Te 0.7188 -1.9053 2.0436
Ga 0.8084 1.0939 4.8082
Te -1.9304 1.1869 1.7855
CELL_PARAMETERS angstrom
-3.8607 2.3737 3.5710
1.4376 -3.8105 4.0872
4.0398 3.6245 1.9582

! PBEsol ZnGa2Te4, relaxed; values from VASP
! Volume in Å³/cell: 206.6
! Space group: I-4
! ΔE_f (raw) in eV per atom: -0.33
&SYSTEM
  ibrav = 0, nat = 7, ntyp = 3
/
ATOMIC_SPECIES
Te 127.60 Te.upf
Ga 69.72 Ga.upf
Zn 65.41 Zn.upf
ATOMIC_POSITIONS angstrom
Te -1.3549 -1.5993 4.2955
Te 4.5615 1.6073 1.5911
Te 1.3629 4.3171 1.5911
Ga 2.9622 0.0000 2.9433
Te 1.3549 1.5993 4.2955
Zn 0.0000 0.0000 0.0000
Ga 2.9622 2.9622 0.0000
CELL_PARAMETERS angstrom
5.9244 0.0000 0.0000
0.0000 5.9244 0.0000
-2.9622 -2.9622 5.8866

! PBEsol ThGa, relaxed; values from VASP
! Volume in Å³/cell: 395.7
! DOS(E_F) in states/eV/atom: 0.836
! Space group: Pnma
! Calculated total energy in Ry/atom: -0.46058
&SYSTEM
  ibrav = 0, nat = 16, ntyp = 2
/
ATOMIC_SPECIES
Ga 69.72 Ga.upf
Th 232.04 Th.upf
ATOMIC_POSITIONS angstrom
Ga 7.7976 -2.5435 1.6363
Th 5.4381 -0.3606 1.1835
Ga 14.9595 2.8641 2.7729
Th 14.6492 6.0335 2.1593
Th 5.6598 -3.1265 3.7937
Th 9.7715 0.0118 1.1729
Th 7.3693 2.5095 2.7344
Ga 3.3404 -1.0238 3.3569
Ga 9.3433 5.0647 2.2709
Ga 7.6410 -0.5825 3.3326
Ga 13.8005 3.5451 0.5503
Ga 9.4999 3.1038 0.5747
Ga 2.1814 -0.3428 1.1343
Th 11.4810 5.6477 0.1135
Th 2.4916 -3.5123 1.7479
Th 11.7027 2.8818 2.7237
CELL_PARAMETERS angstrom
-0.0563 0.7693 4.0022
2.6268 -5.2752 1.0510
14.5703 7.0271 -1.1459

! PBEsol ThGa2, relaxed; values from VASP
! Volume in Å³/cell: 129.2
! DOS(E_F) in states/eV/atom: 0.139
! Space group: I4_1/amd
! Calculated total energy in Ry/atom: -0.41263
&SYSTEM
  ibrav = 0, nat = 6, ntyp = 2
/
ATOMIC_SPECIES
Ga 69.72 Ga.upf
Th 232.04 Th.upf
ATOMIC_POSITIONS angstrom
Ga 0.0000 2.1057 4.8562
Th 2.1057 2.1057 0.0000
Ga 0.0000 0.0000 1.2129
Th 2.1057 0.0000 3.6433
Ga 2.1057 2.1057 6.0736
Ga 0.0000 2.1057 2.4303
CELL_PARAMETERS angstrom
4.2114 0.0000 0.0000
0.0000 4.2114 0.0000
-2.1057 -2.1057 7.2866

! PBEsol Ti2Ga3, relaxed; values from VASP
! Volume in Å³/cell: 151.5
! DOS(E_F) in states/eV/atom: 0.564
! Space group: P4/m
! Calculated total energy in Ry/atom: -0.43012
&SYSTEM
  ibrav = 0, nat = 10, ntyp = 2
/
ATOMIC_SPECIES
Ti 47.87 Ti.upf
Ga 69.72 Ga.upf
ATOMIC_POSITIONS angstrom
Ti -2.0583 -6.6696 1.7840
Ga 0.5084 -5.9260 2.0805
Ga 0.0000 0.0000 0.0000
Ga -0.9327 -5.5360 -0.4353
Ti -2.9638 -3.7768 -0.3424
Ga -1.6675 -4.0839 1.9116
Ti -0.3712 -4.3909 4.1656
Ti -1.2767 -1.4981 2.0391
Ga -0.4725 -2.6528 -0.2519
Ga 0.9685 -3.0428 2.2639
CELL_PARAMETERS angstrom
-3.3709 0.4111 1.9946
-2.2499 -5.0810 -2.7552
2.2857 -3.4977 4.5838

! PBEsol Ti2Ga, relaxed; values from VASP
! Volume in Å³/cell: 93.2
! DOS(E_F) in states/eV/atom: 1.245
! Space group: P6_3/mmc
! Calculated total energy in Ry/atom: -0.52196
&SYSTEM
  ibrav = 0, nat = 6, ntyp = 2
/
ATOMIC_SPECIES
Ga 69.72 Ga.upf
Ti 47.87 Ti.upf
ATOMIC_POSITIONS angstrom
Ga -1.2165 -4.4983 1.1151
Ti 0.0000 0.0000 0.0000
Ti -1.7519 -1.8741 1.3762
Ga -2.0618 -1.6830 -1.1797
Ti -1.5263 -4.3072 -1.4408
Ti 0.5354 -2.6242 -0.2611
CELL_PARAMETERS angstrom
-1.7097 -0.7530 4.0626
-2.6394 -0.1799 -3.6050
1.0709 -5.2484 -0.5222

! PBEsol Ti5Ga4, relaxed; values from VASP
! Volume in Å³/cell: 278.9
! DOS(E_F) in states/eV/atom: 1.189
! Space group: P6_3/mcm
! Calculated total energy in Ry/atom: -0.48469
&SYSTEM
  ibrav = 0, nat = 18, ntyp = 2
/
ATOMIC_SPECIES
Ga 69.72 Ga.upf
Ti 47.87 Ti.upf
ATOMIC_POSITIONS angstrom
Ga -2.0749 2.0869 1.2950
Ti -3.3974 -0.5177 -3.0223
Ga -4.2920 -2.9222 -3.5373
Ti -2.8319 -3.3675 0.8893
Ga -4.5187 -1.3335 1.7570
Ti -4.5882 -2.3453 -0.8327
Ti -2.7731 -4.5825 -1.9520
Ga -4.6173 4.1442 0.9894
Ti -6.7963 -0.5755 0.4100
Ti -3.0058 0.4096 3.3088
Ti -3.1450 3.4959 3.2229
Ga -1.8786 -2.1780 -1.4370
Ga 0.0000 0.0000 0.0000
Ti -2.5540 -0.3380 0.3442
Ti -4.7621 1.4318 1.5868
Ga -4.8316 0.4200 -1.0029
Ti -3.5472 2.7352 -0.9385
Ga -1.7563 1.0222 -1.7220
CELL_PARAMETERS angstrom
-3.5125 2.0444 -3.4439
-2.6581 -7.1447 -1.5303
-3.1797 4.1867 5.7284

! PBEsol TiTl3Ga, relaxed; values from VASP
! Volume in Å³/cell: 144.1
! DOS(E_F) in states/eV/atom: 1.595
! Space group: Pm-3m
! Calculated total energy in Ry/atom: -0.22813
&SYSTEM
  ibrav = 0, nat = 5, ntyp = 3
/
ATOMIC_SPECIES
Tl 204.38 Tl.upf
Ti 47.87 Ti.upf
Ga 69.72 Ga.upf
ATOMIC_POSITIONS angstrom
Tl 2.6212 0.0000 0.0000
Tl 0.0000 2.6212 0.0000
Tl 0.0000 0.0000 2.6212
Ti 2.6212 2.6212 2.6212
Ga 0.0000 0.0000 0.0000
CELL_PARAMETERS angstrom
5.2424 0.0000 0.0000
0.0000 5.2424 0.0000
0.0000 0.0000 5.2424

! PBEsol Ti2TlGa, relaxed; values from VASP
! Volume in Å³/cell: 69.1
! DOS(E_F) in states/eV/atom: 1.567
! Space group: Fm-3m
! Calculated total energy in Ry/atom: -0.41907
&SYSTEM
  ibrav = 0, nat = 4, ntyp = 3
/
ATOMIC_SPECIES
Tl 204.38 Tl.upf
Ti 47.87 Ti.upf
Ga 69.72 Ga.upf
ATOMIC_POSITIONS angstrom
Tl 4.6050 2.6587 1.8800
Ti 2.3025 1.3294 0.9400
Ti 6.9075 3.9881 2.8200
Ga 0.0000 0.0000 0.0000
CELL_PARAMETERS angstrom
4.6050 0.0000 0.0000
2.3025 3.9881 0.0000
2.3025 1.3294 3.7600

! PBEsol TiGa2W, relaxed; values from VASP
! Volume in Å³/cell: 59.7
! DOS(E_F) in states/eV/atom: 1.010
! Space group: Fm-3m
! Calculated total energy in Ry/atom: -0.52931
&SYSTEM
  ibrav = 0, nat = 4, ntyp = 3
/
ATOMIC_SPECIES
Ti 47.87 Ti.upf
W 183.84 W.upf
Ga 69.72 Ga.upf
ATOMIC_POSITIONS angstrom
Ti 0.0000 0.0000 0.0000
W 0.3288 -2.4934 4.7487
Ga 0.4932 -3.7401 7.1231
Ga 0.1644 -1.2467 2.3744
CELL_PARAMETERS angstrom
-2.2992 -1.9332 3.1980
1.6728 -3.4559 2.1234
1.2840 0.4023 4.1761

! PBEsol Ti2Ga2W, relaxed; values from VASP
! Volume in Å³/cell: 152.3
! DOS(E_F) in states/eV/atom: 0.681
! Space group: P4/mbm
! Calculated total energy in Ry/atom: -0.57076
&SYSTEM
  ibrav = 0, nat = 10, ntyp = 3
/
ATOMIC_SPECIES
Ga 69.72 Ga.upf
W 183.84 W.upf
Ti 47.87 Ti.upf
ATOMIC_POSITIONS angstrom
Ga -0.4222 1.6627 6.1558
W 0.0000 0.0000 0.0000
W -1.1640 -0.3549 4.6023
Ti -3.8208 -1.7371 4.5422
Ti -1.4253 2.5763 4.0439
Ti -2.9051 0.8564 6.7174
Ti -2.3410 -0.0171 1.8686
Ga -1.9059 -2.3726 3.0489
Ga -2.2513 -1.5671 6.6959
Ga -0.0767 0.8572 2.5088
CELL_PARAMETERS angstrom
-2.9180 1.5491 -0.6186
-3.2199 -4.5647 3.7577
0.8918 3.8548 5.4470

! PBEsol Y2Ti2Ga, relaxed; values from VASP
! Volume in Å³/cell: 112.6
! DOS(E_F) in states/eV/atom: 0.825
! Space group: I4/mmm
! Calculated total energy in Ry/atom: -0.45232
&SYSTEM
  ibrav = 0, nat = 5, ntyp = 3
/
ATOMIC_SPECIES
Ga 69.72 Ga.upf
Ti 47.87 Ti.upf
Y 88.91 Y.upf
ATOMIC_POSITIONS angstrom
Ga 0.0000 0.0000 0.0000
Ti -0.9672 3.6757 4.1499
Ti -3.0432 0.3135 0.3581
Y -2.0038 0.9033 3.2209
Y -2.0065 3.0859 1.2871
CELL_PARAMETERS angstrom
-2.8754 1.8483 -2.3072
-2.8700 -2.5170 1.5605
1.7350 4.6580 5.2547